Entry 1:
# RbPm2OsO8 | Alexandria | GGA-PBE | optimized geometry
data_RbPm2OsO8
_cell_length_a 4.220
_cell_length_b 5.419
_cell_length_c 7.336
_cell_angle_alpha 90.36
_cell_angle_beta 106.12
_cell_angle_gamma 90.30
_space_group_name_H-M_alt 'P 1'
_space_group_IT_number 1
_space_group_name_Hall 'P 1'
loop_
_atom_site_label
_atom_site_type_symbol
_atom_site_fract_x
_atom_site_fract_y
_atom_site_fract_z
Rb1 Rb 0.000 0.000 0.000
Pm1 Pm 0.373 0.491 0.707
Pm2 Pm 0.627 0.509 0.293
Os1 Os 0.000 0.000 0.500
O1 O 0.176 0.500 0.998
O2 O 0.188 0.249 0.378
O3 O 0.194 0.716 0.406
O4 O 0.349 0.027 0.721
O5 O 0.651 0.973 0.279
O6 O 0.806 0.284 0.594
O7 O 0.812 0.751 0.622
O8 O 0.824 0.500 0.002
# theoretical density	7147	kg/m3
# N(E_F)	3.69	states/eV per cell
# uncorrected formation energy	-1.9376	eV/atom
# energy	-7.0513	eV per atom

---

Entry 2:
# Pm2OsRhO8 | Alexandria | GGA-PBE | optimized geometry
data_Pm2OsRhO8
_cell_length_a 4.835
_cell_length_b 4.842
_cell_length_c 6.788
_cell_angle_alpha 90.20
_cell_angle_beta 90.17
_cell_angle_gamma 92.35
_space_group_name_H-M_alt 'P 1'
_space_group_IT_number 1
_space_group_name_Hall 'P 1'
loop_
_atom_site_label
_atom_site_type_symbol
_atom_site_fract_x
_atom_site_fract_y
_atom_site_fract_z
Pm1 Pm 0.065 0.064 0.258
Pm2 Pm 0.935 0.936 0.742
Os1 Os 0.500 0.500 0.000
Rh1 Rh 0.500 0.500 0.500
O1 O 0.211 0.213 0.548
O2 O 0.229 0.234 0.957
O3 O 0.292 0.632 0.242
O4 O 0.371 0.711 0.758
O5 O 0.629 0.289 0.242
O6 O 0.708 0.368 0.758
O7 O 0.771 0.766 0.043
O8 O 0.789 0.787 0.452
# theoretical density	7438	kg/m3
# N(E_F)	4.62	states/eV per cell
# uncorrected formation energy	-1.8131	eV/atom
# energy	-7.4587	eV per atom

---

Entry 3:
# PmOsRh2O8 | Alexandria | GGA-PBE | optimized geometry
data_PmOsRh2O8
_cell_length_a 4.741
_cell_length_b 6.526
_cell_length_c 4.743
_cell_angle_alpha 90.00
_cell_angle_beta 90.91
_cell_angle_gamma 90.00
_space_group_name_H-M_alt 'P 1'
_space_group_IT_number 1
_space_group_name_Hall 'P 1'
loop_
_atom_site_label
_atom_site_type_symbol
_atom_site_fract_x
_atom_site_fract_y
_atom_site_fract_z
Pm1 Pm 0.000 0.000 0.000
Os1 Os 0.000 0.500 0.000
Rh1 Rh 0.500 0.257 0.500
Rh2 Rh 0.500 0.743 0.500
O1 O 0.201 0.287 0.200
O2 O 0.201 0.713 0.200
O3 O 0.292 0.500 0.706
O4 O 0.327 0.000 0.671
O5 O 0.673 0.000 0.329
O6 O 0.708 0.500 0.294
O7 O 0.799 0.287 0.800
O8 O 0.799 0.713 0.800
# theoretical density	7572	kg/m3
# N(E_F)	5.24	states/eV per cell
# uncorrected formation energy	-1.2991	eV/atom
# energy	-7.1615	eV per atom

---

Entry 4:
# PmOsRu2O8 | Alexandria | GGA-PBE | optimized geometry
data_PmOsRu2O8
_cell_length_a 4.780
_cell_length_b 4.780
_cell_length_c 6.391
_cell_angle_alpha 90.00
_cell_angle_beta 90.00
_cell_angle_gamma 91.06
_space_group_name_H-M_alt 'P 1'
_space_group_IT_number 1
_space_group_name_Hall 'P 1'
loop_
_atom_site_label
_atom_site_type_symbol
_atom_site_fract_x
_atom_site_fract_y
_atom_site_fract_z
Pm1 Pm 0.000 0.000 0.000
Os1 Os 0.000 0.000 0.500
Ru1 Ru 0.500 0.500 0.260
Ru2 Ru 0.500 0.500 0.740
O1 O 0.208 0.208 0.287
O2 O 0.208 0.208 0.713
O3 O 0.292 0.708 0.500
O4 O 0.332 0.668 0.000
O5 O 0.668 0.332 0.000
O6 O 0.708 0.292 0.500
O7 O 0.792 0.792 0.287
O8 O 0.792 0.792 0.713
# theoretical density	7566	kg/m3
# N(E_F)	8.01	states/eV per cell
# uncorrected formation energy	-1.4103	eV/atom
# energy	-7.5935	eV per atom

---

Entry 5:
# Pm2ScOsO8 | Alexandria | GGA-PBE | optimized geometry
data_Pm2ScOsO8
_cell_length_a 5.065
_cell_length_b 5.065
_cell_length_c 6.795
_cell_angle_alpha 90.01
_cell_angle_beta 90.01
_cell_angle_gamma 91.80
_space_group_name_H-M_alt 'P 1'
_space_group_IT_number 1
_space_group_name_Hall 'P 1'
loop_
_atom_site_label
_atom_site_type_symbol
_atom_site_fract_x
_atom_site_fract_y
_atom_site_fract_z
Pm1 Pm 0.003 0.003 0.246
Pm2 Pm 0.997 0.997 0.754
Sc1 Sc 0.500 0.500 0.000
Os1 Os 0.500 0.500 0.500
O1 O 0.212 0.212 0.998
O2 O 0.236 0.236 0.502
O3 O 0.323 0.673 0.284
O4 O 0.327 0.677 0.716
O5 O 0.673 0.323 0.284
O6 O 0.677 0.327 0.716
O7 O 0.764 0.764 0.498
O8 O 0.788 0.788 0.002
# theoretical density	6224	kg/m3
# N(E_F)	1.25	states/eV per cell
# uncorrected formation energy	-2.4147	eV/atom
# energy	-7.9754	eV per atom

---

Entry 6:
# Pm2SmOsO8 | Alexandria | GGA-PBE | optimized geometry
data_Pm2SmOsO8
_cell_length_a 5.167
_cell_length_b 6.960
_cell_length_c 5.168
_cell_angle_alpha 90.00
_cell_angle_beta 90.03
_cell_angle_gamma 90.00
_space_group_name_H-M_alt 'P 1'
_space_group_IT_number 1
_space_group_name_Hall 'P 1'
loop_
_atom_site_label
_atom_site_type_symbol
_atom_site_fract_x
_atom_site_fract_y
_atom_site_fract_z
Pm1 Pm 0.000 0.250 0.000
Pm2 Pm 0.000 0.750 0.000
Sm1 Sm 0.500 0.000 0.500
Os1 Os 0.500 0.500 0.500
O1 O 0.191 0.000 0.192
O2 O 0.244 0.500 0.245
O3 O 0.321 0.295 0.680
O4 O 0.321 0.705 0.680
O5 O 0.679 0.295 0.320
O6 O 0.679 0.705 0.320
O7 O 0.756 0.500 0.755
O8 O 0.809 0.000 0.808
# theoretical density	6778	kg/m3
# N(E_F)	2.45	states/eV per cell
# uncorrected formation energy	-2.4411	eV/atom
# energy	-7.8674	eV per atom

---

Entry 7:
# Sr2PmOsO8 | Alexandria | GGA-PBE | optimized geometry
data_Sr2PmOsO8
_cell_length_a 5.131
_cell_length_b 6.981
_cell_length_c 5.265
_cell_angle_alpha 90.00
_cell_angle_beta 91.28
_cell_angle_gamma 90.00
_space_group_name_H-M_alt 'P 1'
_space_group_IT_number 1
_space_group_name_Hall 'P 1'
loop_
_atom_site_label
_atom_site_type_symbol
_atom_site_fract_x
_atom_site_fract_y
_atom_site_fract_z
Sr1 Sr 0.000 0.238 0.000
Sr2 Sr 0.000 0.762 0.000
Pm1 Pm 0.500 0.500 0.500
Os1 Os 0.500 0.000 0.500
O1 O 0.104 0.500 0.285
O2 O 0.190 0.000 0.318
O3 O 0.381 0.200 0.713
O4 O 0.381 0.800 0.713
O5 O 0.619 0.200 0.287
O6 O 0.619 0.800 0.287
O7 O 0.810 0.000 0.682
O8 O 0.896 0.500 0.715
# theoretical density	5623	kg/m3
# uncorrected formation energy	-1.9233	eV/atom
# energy	-6.8408	eV per atom

---

Entry 8:
# Sr2PmOsO6 | Alexandria | GGA-PBE | optimized geometry
data_Sr2PmOsO6
_cell_length_a 5.874
_cell_length_b 5.990
_cell_length_c 10.179
_cell_angle_alpha 90.00
_cell_angle_beta 124.72
_cell_angle_gamma 90.00
_space_group_name_H-M_alt 'P 1'
_space_group_IT_number 1
_space_group_name_Hall 'P 1'
loop_
_atom_site_label
_atom_site_type_symbol
_atom_site_fract_x
_atom_site_fract_y
_atom_site_fract_z
Sr1 Sr 0.238 0.043 0.250
Sr2 Sr 0.238 0.457 0.750
Sr3 Sr 0.762 0.543 0.250
Sr4 Sr 0.762 0.957 0.750
Pm1 Pm 0.500 0.000 0.000
Pm2 Pm 0.500 0.500 0.500
Os1 Os 0.000 0.000 0.500
Os2 Os 0.000 0.500 0.000
O1 O 0.139 0.229 0.952
O2 O 0.139 0.271 0.452
O3 O 0.227 0.692 0.956
O4 O 0.227 0.808 0.456
O5 O 0.315 0.028 0.729
O6 O 0.315 0.472 0.229
O7 O 0.685 0.528 0.771
O8 O 0.685 0.972 0.271
O9 O 0.773 0.192 0.544
O10 O 0.773 0.308 0.044
O11 O 0.861 0.729 0.548
O12 O 0.861 0.771 0.048
# theoretical density	6843	kg/m3
# N(E_F)	1.43	states/eV per cell
# uncorrected formation energy	-2.4054	eV/atom
# energy	-7.3147	eV per atom

---

Entry 9:
# SrPmOsO6 | Alexandria | GGA-PBE | optimized geometry
data_SrPmOsO6
_cell_length_a 5.678
_cell_length_b 5.678
_cell_length_c 5.175
_cell_angle_alpha 90.00
_cell_angle_beta 90.00
_cell_angle_gamma 120.00
_space_group_name_H-M_alt 'P 1'
_space_group_IT_number 1
_space_group_name_Hall 'P 1'
loop_
_atom_site_label
_atom_site_type_symbol
_atom_site_fract_x
_atom_site_fract_y
_atom_site_fract_z
Sr1 Sr 0.000 0.000 0.000
Pm1 Pm 0.333 0.667 0.500
Os1 Os 0.667 0.333 0.500
O1 O 0.391 0.054 0.710
O2 O 0.391 0.338 0.290
O3 O 0.662 0.054 0.290
O4 O 0.662 0.609 0.710
O5 O 0.946 0.338 0.710
O6 O 0.946 0.609 0.290
# theoretical density	5962	kg/m3
# N(E_F)	5.07	states/eV per cell
# uncorrected formation energy	-2.0842	eV/atom
# energy	-7.3521	eV per atom

---

Entry 10:
# TbPmOsO6 | Alexandria | GGA-PBE | optimized geometry
data_TbPmOsO6
_cell_length_a 5.547
_cell_length_b 5.547
_cell_length_c 9.788
_cell_angle_alpha 90.00
_cell_angle_beta 90.00
_cell_angle_gamma 120.00
_space_group_name_H-M_alt 'P 1'
_space_group_IT_number 1
_space_group_name_Hall 'P 1'
loop_
_atom_site_label
_atom_site_type_symbol
_atom_site_fract_x
_atom_site_fract_y
_atom_site_fract_z
Tb1 Tb 0.333 0.667 0.250
Tb2 Tb 0.667 0.333 0.750
Pm1 Pm 0.000 0.000 0.000
Pm2 Pm 0.000 0.000 0.500
Os1 Os 0.333 0.667 0.750
Os2 Os 0.667 0.333 0.250
O1 O 0.045 0.375 0.637
O2 O 0.045 0.669 0.863
O3 O 0.331 0.375 0.863
O4 O 0.331 0.955 0.637
O5 O 0.375 0.045 0.137
O6 O 0.375 0.331 0.363
O7 O 0.625 0.669 0.637
O8 O 0.625 0.955 0.863
O9 O 0.669 0.045 0.363
O10 O 0.669 0.625 0.137
O11 O 0.955 0.331 0.137
O12 O 0.955 0.625 0.363
# theoretical density	7516	kg/m3
# N(E_F)	9.00	states/eV per cell
# uncorrected formation energy	-2.3411	eV/atom
# energy	-7.9367	eV per atom